1.
Ho6Pt2O PBE relaxed; magnetic moment = 0.00 μB per cell; formation energy without anion corrections = -1288 meV per atom; SG = P2_1/c
1.0
6.395 0.000 0.000
0.000 6.991 0.000
-6.149 0.000 9.482
Ho Pt O
12 4 2
Direct
0.125 0.028 0.244
0.125 0.472 0.744
0.236 0.687 0.059
0.236 0.813 0.559
0.370 0.180 0.057
0.370 0.320 0.557
0.630 0.680 0.443
0.630 0.820 0.943
0.764 0.187 0.441
0.764 0.313 0.941
0.875 0.528 0.256
0.875 0.972 0.756
0.300 0.101 0.754
0.300 0.399 0.254
0.700 0.601 0.746
0.700 0.899 0.246
0.000 0.000 0.000
0.000 0.500 0.500



2.
Cd5H3Br12 PBE relaxed; magnetic moment = 0.00 μB per cell; VASP energy = -1.955 eV/atom; SG = Ia-3d
1.0
-8.237 8.237 8.237
8.237 -8.237 8.237
8.237 8.237 -8.237
Cd H Br
20 12 48
Direct
0.000 0.000 0.000
0.000 0.000 0.500
0.000 0.500 0.000
0.000 0.500 0.500
0.125 0.750 0.875
0.125 0.875 0.250
0.250 0.125 0.875
0.250 0.625 0.375
0.375 0.250 0.625
0.375 0.625 0.750
0.500 0.000 0.000
0.500 0.000 0.500
0.500 0.500 0.000
0.500 0.500 0.500
0.625 0.375 0.250
0.625 0.750 0.375
0.750 0.375 0.625
0.750 0.875 0.125
0.875 0.125 0.750
0.875 0.250 0.125
0.125 0.250 0.375
0.125 0.375 0.750
0.250 0.375 0.125
0.250 0.875 0.625
0.375 0.125 0.250
0.375 0.750 0.125
0.625 0.250 0.875
0.625 0.875 0.750
0.750 0.125 0.375
0.750 0.625 0.875
0.875 0.625 0.250
0.875 0.750 0.625
0.016 0.639 0.201
0.016 0.877 0.815
0.062 0.185 0.701
0.062 0.377 0.361
0.123 0.185 0.984
0.123 0.438 0.139
0.139 0.123 0.438
0.139 0.516 0.701
0.185 0.701 0.062
0.185 0.984 0.123
0.201 0.016 0.639
0.201 0.685 0.562
0.299 0.861 0.484
0.299 0.938 0.815
0.315 0.377 0.516
0.315 0.438 0.799
0.361 0.062 0.377
0.361 0.799 0.984
0.377 0.361 0.062
0.377 0.516 0.315
0.438 0.139 0.123
0.438 0.799 0.315
0.484 0.299 0.861
0.484 0.685 0.623
0.516 0.315 0.377
0.516 0.701 0.139
0.562 0.201 0.685
0.562 0.861 0.877
0.623 0.484 0.685
0.623 0.639 0.938
0.639 0.201 0.016
0.639 0.938 0.623
0.685 0.562 0.201
0.685 0.623 0.484
0.701 0.062 0.185
0.701 0.139 0.516
0.799 0.315 0.438
0.799 0.984 0.361
0.815 0.016 0.877
0.815 0.299 0.938
0.861 0.484 0.299
0.861 0.877 0.562
0.877 0.562 0.861
0.877 0.815 0.016
0.938 0.623 0.639
0.938 0.815 0.299
0.984 0.123 0.185
0.984 0.361 0.799



3.
Sc2TaAg PBE relaxed; energy above the lowest structure with this stoichiometry = 160 meV/atom; magnetic moment = 0.00 μB per cell; SG = Cmmm; ΔE_f = 41.5 kJ/mol of formula units
1.0
3.380 -3.884 0.000
3.380 3.884 0.000
0.000 0.000 3.079
Sc Ta Ag
2 1 1
Direct
0.000 0.500 0.000
0.500 0.000 0.000
0.000 0.000 0.500
0.500 0.500 0.500